Entry from the Alexandria database: a geometry-optimized HOsSeN2 structure (GGA-PBE).

DFT total energy	-5.950	eV/atom
ΔE to the lowest computed polymorph	0.0000	eV per atom
spin magnetization	0.00	Bohr magnetons per cell
N(E_F)	2.79	states/eV per cell

a = 3.7255 Å, b = 3.7255 Å, c = 5.3940 Å
α = 90.00°, β = 90.00°, γ = 90.00°
Space group P4/mmm (No. 123)
Unique sites:
H (0.0000, 0.0000, 0.0000) [1 per cell]
Os (0.5000, 0.5000, 0.5000) [1 per cell]
Se (0.5000, 0.5000, 0.0000) [1 per cell]
N (0.0000, 0.5000, 0.5000) [2 per cell]

Entry from the Alexandria database: a geometry-optimized HOsSeN2 structure (GGA-PBE).

DFT total energy	-4.816	eV/atom
ΔE to the lowest computed polymorph	1.1340	eV per atom
spin magnetization	0.00	Bohr magnetons per cell
N(E_F)	3.42	states/eV per cell

a = 3.9422 Å, b = 3.9422 Å, c = 3.0949 Å
α = 90.00°, β = 90.00°, γ = 90.00°
Space group P4/mmm (No. 123)
Unique sites:
H (0.0000, 0.0000, 0.0000) [1 per cell]
Os (0.5000, 0.5000, 0.5000) [1 per cell]
Se (0.0000, 0.0000, 0.5000) [1 per cell]
N (0.0000, 0.5000, 0.0000) [2 per cell]

Entry from the Alexandria database: a geometry-optimized SrH2OsN structure (GGA-PBE).

DFT total energy	-3.818	eV/atom
spin magnetization	2.87	Bohr magnetons per cell
N(E_F)	2.67	states/eV per cell

a = 3.6753 Å, b = 3.6753 Å, c = 5.1448 Å
α = 90.00°, β = 90.00°, γ = 90.00°
Space group P4/mmm (No. 123)
Unique sites:
Sr (0.0000, 0.0000, 0.0000) [1 per cell]
H (0.0000, 0.5000, 0.0000) [2 per cell]
Os (0.5000, 0.5000, 0.5000) [1 per cell]
N (0.0000, 0.0000, 0.5000) [1 per cell]

Entry from the Alexandria database: a geometry-optimized PaP2HN6 structure (GGA-PBE).

DFT total energy	-7.803	eV/atom
spin magnetization	0.00	Bohr magnetons per cell
N(E_F)	0.00	states/eV per cell

a = 9.7298 Å, b = 10.1888 Å, c = 5.3241 Å
α = 90.00°, β = 119.10°, γ = 90.00°
Space group C2/c (No. 15)
Unique sites:
Pa (0.0000, 0.1246, 0.2500) [4 per cell]
P (0.1630, 0.4171, 0.1245) [8 per cell]
H (0.0000, 0.2662, 0.7500) [4 per cell]
N (0.0844, 0.2748, 0.0370) [8 per cell]
N (0.0842, 0.4890, 0.3178) [8 per cell]
N (0.1536, 0.0511, 0.6896) [8 per cell]